An optimized crystal structure of BeSb3. Source: Alexandria via LeMat-Bulk, functional GGA-PBEsol.

a = 3.2652 Å, b = 3.2652 Å, c = 8.8168 Å
α = 90.00°, β = 90.00°, γ = 108.03°
Positions (direct):
Be  0.0000  0.0000  0.0000
Sb  0.0000  0.0000  0.5000
Sb  0.5000  0.5000  0.1897
Sb  0.5000  0.5000  0.8103

Computed properties:
Size of the total moment (μB/atom): 0.00
ΔE_f (raw) (eV per atom): 0.34
Symmetry: No. 65
DOS at the Fermi energy (states/eV/f.u.): 2.21
Energy above the lowest structure with this stoichiometry (meV per atom): 35

=====

An optimized crystal structure of Be2Sb. Source: Alexandria via LeMat-Bulk, functional GGA-PBEsol.

a = 4.5857 Å, b = 4.5857 Å, c = 4.9543 Å
α = 90.00°, β = 90.00°, γ = 120.00°
Positions (direct):
Be  0.0000  0.0000  0.0000
Be  0.0000  0.0000  0.5000
Be  0.3333  0.6667  0.2500
Be  0.6667  0.3333  0.7500
Sb  0.3333  0.6667  0.7500
Sb  0.6667  0.3333  0.2500

Computed properties:
Size of the total moment (μB/atom): 0.00
ΔE_f (raw) (eV per atom): 0.69
Symmetry: No. 194
DOS at the Fermi energy (states/eV/f.u.): 1.20
Energy above the lowest structure with this stoichiometry (meV per atom): 204

=====

An optimized crystal structure of Be2Sb. Source: Alexandria via LeMat-Bulk, functional GGA-PBEsol.

a = 3.7112 Å, b = 3.7112 Å, c = 3.5642 Å
α = 90.00°, β = 90.00°, γ = 120.00°
Positions (direct):
Be  0.3333  0.6667  0.0000
Be  0.6667  0.3333  0.0000
Sb  0.0000  0.0000  0.5000

Computed properties:
Size of the total moment (μB/atom): 0.00
ΔE_f (raw) (eV per atom): 0.48
Symmetry: No. 191
DOS at the Fermi energy (states/eV/f.u.): 0.84
Energy above the lowest structure with this stoichiometry (meV per atom): 0

=====

An optimized crystal structure of ScBe2Sb. Source: Alexandria via LeMat-Bulk, functional GGA-PBEsol.

a = 3.9841 Å, b = 3.9841 Å, c = 3.7980 Å
α = 90.00°, β = 90.00°, γ = 90.00°
Positions (direct):
Sc  0.0000  0.0000  0.0000
Be  0.0000  0.5000  0.5000
Be  0.5000  0.0000  0.5000
Sb  0.5000  0.5000  0.0000

Computed properties:
Size of the total moment (μB/atom): 0.00
ΔE_f (raw) (eV per atom): -0.10
Symmetry: No. 123
DOS at the Fermi energy (states/eV/f.u.): 1.40

=====

An optimized crystal structure of ScBeSb. Source: Alexandria via LeMat-Bulk, functional GGA-PBEsol.

a = 4.2449 Å, b = 4.2449 Å, c = 4.2449 Å
α = 60.00°, β = 60.00°, γ = 60.00°
Positions (direct):
Sc  0.0000  0.0000  0.0000
Be  0.2500  0.2500  0.2500
Sb  0.5000  0.5000  0.5000

Computed properties:
Size of the total moment (μB/atom): 0.00
ΔE_f (raw) (eV per atom): -0.15
Symmetry: No. 216
DOS at the Fermi energy (states/eV/f.u.): 1.90
Energy above the lowest structure with this stoichiometry (meV per atom): 0

=====

An optimized crystal structure of ScBeSb. Source: Alexandria via LeMat-Bulk, functional GGA-PBEsol.

a = 5.4195 Å, b = 5.4195 Å, c = 5.4195 Å
α = 143.72°, β = 143.72°, γ = 52.24°
Positions (direct):
Sc  0.0000  0.0000  0.0000
Be  0.6788  0.6788  0.0000
Sb  0.2989  0.2989  0.0000

Computed properties:
Size of the total moment (μB/atom): 0.02
ΔE_f (raw) (eV per atom): -0.05
Symmetry: No. 107
DOS at the Fermi energy (states/eV/f.u.): 2.69
Energy above the lowest structure with this stoichiometry (meV per atom): 107